Below is Zr3SbRu after structural relaxation, with properties calculated at the GGA-PBE level.

Properties
Formation energy without anion corrections   0.026 eV per atom
Total moment   0.00 μB per formula unit
Energy above the most stable polymorph in this dataset   0.00 eV per formula unit
Calculated density   6.589 Mg/m³

a b c (Å): 5.002 5.002 5.002
angles (deg): 90.00 90.00 90.00
Fractional positions:
Sb 0.500 0.500 0.500
Zr 0.000 0.500 0.000
Zr 0.000 0.000 0.500
Zr 0.500 0.000 0.000
Ru 0.000 0.000 0.000